This record from Alexandria describes a relaxed structure of Ac12Ru4Rh. The functional is PBE.

a b c (Å): 9.6106 9.6106 9.6106
angles (deg): 109.51 109.48 109.42
Fractional coordinates of all 17 atoms:
Ac  0.0081  0.8159  0.1922
Ac  0.1966  0.5156  0.3190
Ac  0.1966  0.8775  0.6810
Ac  0.3002  0.3167  0.6170
Ac  0.3002  0.6832  0.9835
Ac  0.3763  0.1841  0.1922
Ac  0.6237  0.8159  0.8078
Ac  0.6998  0.3167  0.0165
Ac  0.6998  0.6832  0.3830
Ac  0.8034  0.1225  0.3190
Ac  0.8034  0.4844  0.6810
Ac  0.9919  0.1841  0.8078
Ru  0.0000  0.0000  0.5000
Ru  0.0000  0.5000  0.0000
Ru  0.5000  0.0000  0.0000
Ru  0.5000  0.5000  0.5000
Rh  0.0000  0.5000  0.5000

theoretical density = 7.85 Mg/m³
calculated formation energy = -0.098 eV per atom
calculated total energy = -95.418 eV for the cell shown
SG = Immm, No. 71